Record 1
A relaxed K17Na11In crystal. Source: Alexandria via LeMat-Bulk, functional PBE.

Computed properties:
* total energy: -0.0899 Ry per atom
* formation energy from the elements: 15 meV/atom
* magnetic moment: 0.000 μB per formula unit

Cell: 12.6039 12.6039 12.5843 Å, 108.59 108.59 108.72°
With the nearest neighbours (Å) after each atom.
Fractional coordinates of all 29 atoms:
In1 0.3432 0.3432 0.1584  3 Na 3.43-3.51
K1 0.0112 0.3515 0.0058  5 Na 4.03-4.41, 1 In 4.06, 4 K 4.06-4.28
K2 0.2978 0.7020 0.7012  7 K 4.18-4.49, 5 Na 4.20-4.65
K3 0.6764 0.6764 0.2821  7 K 4.15-4.45, 1 In 4.25, 4 Na 4.33-4.35
K4 0.5829 0.9941 0.3246  5 Na 4.07-4.32, 5 K 4.26-4.56
K5 0.5750 0.3217 0.9996  1 In 4.06, 5 K 4.06-4.49, 4 Na 4.14-4.36
K6 0.3217 0.5750 0.9996  1 In 4.06, 5 K 4.06-4.49, 4 Na 4.14-4.36
K7 0.0147 0.0147 0.0102  11 Na 4.08-4.52, 1 In 4.11, 4 K 4.28-4.54
K8 0.3515 0.0112 0.0058  5 Na 4.03-4.41, 1 In 4.06, 4 K 4.06-4.28
K9 0.6862 0.6862 0.6871  6 Na 4.16-4.20, 4 K 4.22-4.28
K10 0.4010 0.4010 0.6933  3 Na 4.18-4.37, 7 K 4.23-4.51
K11 0.9966 0.3280 0.5792  5 Na 4.13-4.54, 5 K 4.23-4.53
K12 0.6719 0.3966 0.3902  1 Na 3.83, 1 In 3.92, 2 K 4.15-4.22
K13 0.9941 0.5829 0.3246  5 Na 4.07-4.32, 5 K 4.26-4.56
K14 0.9939 0.9939 0.3569  4 K 4.22-4.54, 8 Na 4.33-4.65
K15 0.3966 0.6719 0.3902  1 Na 3.83, 1 In 3.92, 2 K 4.15-4.22
K16 0.7020 0.2978 0.7012  7 K 4.18-4.49, 5 Na 4.20-4.65
K17 0.3280 0.9966 0.5792  5 Na 4.13-4.54, 5 K 4.23-4.53
Na1 0.6442 0.8247 0.0115  3 Na 3.70-3.81
Na2 0.8073 0.1766 0.1784  3 Na 3.71-3.90
Na3 0.1766 0.8073 0.1784  3 Na 3.71-3.90
Na4 0.0112 0.6473 0.8259  3 Na 3.71-3.81, 1 K 4.13
Na5 0.3461 0.1764 0.3346  1 Na 3.48, 1 In 3.51, 1 K 3.83
Na6 0.8247 0.6442 0.0115  3 Na 3.70-3.81
Na7 0.1863 0.1863 0.8326  1 In 3.43, 2 Na 3.80
Na8 0.8273 0.0080 0.6387  3 Na 3.70-3.80, 1 K 4.07
Na9 0.6473 0.0112 0.8259  3 Na 3.71-3.81, 1 K 4.13
Na10 0.1764 0.3461 0.3346  1 Na 3.48, 1 In 3.51, 1 K 3.83
Na11 0.0080 0.8273 0.6387  3 Na 3.70-3.80, 1 K 4.07

---

Record 2
A relaxed K2NaIn crystal. Source: Alexandria via LeMat-Bulk, functional PBE.

Computed properties:
* total energy: -0.1118 Ry per atom
* formation energy from the elements: 42 meV/atom
* magnetic moment: 0.000 μB per formula unit

Cell: 5.1697 5.7673 5.7673 Å, 90.00 90.00 90.00°
With the nearest neighbours (Å) after each atom.
Fractional coordinates of all 4 atoms:
Na1 0.5000 0.0000 0.0000  8 K 3.87, 4 In 4.08
In1 0.5000 0.5000 0.5000  8 K 3.87, 4 Na 4.08
K1 0.0000 0.0000 0.5000  4 In 3.87, 4 Na 3.87, 4 K 4.08
K2 0.0000 0.5000 0.0000  4 In 3.87, 4 Na 3.87, 4 K 4.08